No. 1
Y4ScP5 | PBE | optimized geometry

Cell lengths 5.6208, 6.8691, 6.8691 Å; angles 80.36, 65.85, 65.85 degrees
Atoms (fractional coordinates):
Y 0.2014 0.2017 0.3976
P 0.7088 0.1948 0.3896
Y 0.4030 0.3976 0.7983
P 0.0984 0.6104 0.1948
Y 0.8006 0.7983 0.6024
Sc 0.0012 0.0000 0.0000
P 0.2932 0.8052 0.6104
P 0.9036 0.3896 0.8052
P 0.5011 0.0000 0.0000
Y 0.5990 0.6024 0.2017

**Magnetic moment**: 0.00 μB per formula unit
**DFT formation energy**: -1.58 eV/atom
**Calculated density**: 4.2 g/cm3

---

No. 2
TbGdIr2 | PBE | optimized geometry

Cell lengths 3.6054, 4.7715, 4.7715 Å; angles 90.00, 90.00, 90.00 degrees
Last column: magnetic moment on the atom in μB.
Atoms (fractional coordinates):
Gd 0.5000 0.5000 0.5000  6.98
Ir 0.0000 0.0000 0.5000  -0.03
Ir 0.0000 0.5000 0.0000  -0.03
Tb 0.5000 0.0000 0.0000  0.02

**Magnetic moment**: 7.03 μB per formula unit
**DFT formation energy**: -0.76 eV/atom
**Calculated density**: 14.2 g/cm3

---

No. 3
Sm5Ga2Pb | PBE | optimized geometry

Cell lengths 8.0584, 8.0584, 9.0952 Å; angles 116.30, 116.30, 90.00 degrees
Atoms (fractional coordinates):
Sm 0.6924 0.1924 0.7135
Pb 0.7500 0.7500 0.5000
Sm 0.8076 0.9789 0.2865
Sm 0.5000 0.5000 0.0000
Ga 0.1281 0.3719 0.0000
Sm 0.4789 0.3076 0.2865
Sm 0.0000 0.0000 0.0000
Pb 0.2500 0.2500 0.5000
Ga 0.8719 0.6281 0.0000
Sm 0.1924 0.0211 0.7135
Sm 0.9789 0.4789 0.2865
Ga 0.6281 0.1281 0.0000
Sm 0.5211 0.6924 0.7135
Ga 0.3719 0.8719 0.0000
Sm 0.3076 0.8076 0.2865
Sm 0.0211 0.5211 0.7135

**Magnetic moment**: 0.00 μB per formula unit
**DFT formation energy**: -0.50 eV/atom
**Calculated density**: 7.9 g/cm3

---

No. 4
Mg2ScNi | PBE | optimized geometry

Cell lengths 5.8024, 5.8024, 4.7055 Å; angles 66.43, 66.43, 31.50 degrees
Atoms (fractional coordinates):
Mg 0.4571 0.4571 0.5428
Ni 0.7500 0.7500 0.7500
Mg 0.0429 0.0429 0.9572
Sc 0.2500 0.2500 0.2500

**Magnetic moment**: 0.00 μB per formula unit
**DFT formation energy**: -0.12 eV/atom
**Calculated density**: 3.4 g/cm3

---

No. 5
K2TmVS4 | PBE | optimized geometry

Cell lengths 6.9041, 6.9041, 6.9041 Å; angles 93.38, 118.07, 118.07 degrees
Last column: magnetic moment on the atom in μB.
Atoms (fractional coordinates):
V 0.0000 0.5000 0.5000  1.78
S 0.6016 0.3841 0.4510  -0.02
S 0.0669 0.2175 0.6159  -0.02
K 0.5000 0.7500 0.2500  0.00
S 0.9331 0.5490 0.1506  -0.02
S 0.3984 0.8494 0.7825  -0.02
K 0.0000 0.0000 0.0000  0.00
Tm 0.5000 0.2500 0.7500  0.07

**Magnetic moment**: 2.00 μB per formula unit
**Formation energy from raw total energies**: -1276 meV per atom
**Calculated density**: 3.0 g/cm3

---

No. 6
SrZn2Br | PBE | optimized geometry

Cell lengths 4.3506, 4.3506, 5.7266 Å; angles 90.00, 90.00, 90.00 degrees
Atoms (fractional coordinates):
Zn 0.0000 0.0000 0.0000
Zn 0.5000 0.5000 0.0000
Br 0.5000 0.0000 0.5000
Sr 0.0000 0.5000 0.5000

**Magnetic moment**: 0.00 μB per formula unit
**Formation energy from raw total energies**: -507 meV per atom
**Calculated density**: 4.6 g/cm3

---

No. 7
SrTiAu3 | PBE | optimized geometry

Cell lengths 5.0866, 5.0866, 5.0866 Å; angles 90.00, 90.00, 90.00 degrees
Last column: magnetic moment on the atom in μB.
Atoms (fractional coordinates):
Ti 0.0000 0.0000 0.0000  0.73
Au 0.0000 0.5000 0.0000  0.02
Sr 0.5000 0.5000 0.5000  0.00
Au 0.5000 0.0000 0.0000  0.06
Au 0.0000 0.0000 0.5000  0.00

**Magnetic moment**: 0.91 μB per formula unit
**DFT formation energy**: -0.21 eV/atom
**Calculated density**: 9.2 g/cm3

---

No. 8
AgTeOs | PBE | optimized geometry

Cell lengths 5.8120, 4.0610, 11.7318 Å; angles 90.00, 112.29, 90.00 degrees
Atoms (fractional coordinates):
Os 0.2818 0.0000 0.8542
Os 0.5555 0.5000 0.5749
Ag 0.6446 0.5000 0.9246
Te 0.3973 0.5000 0.1612
Ag 0.6446 0.0000 0.4246
Os 0.2818 0.5000 0.3542
Ag 0.9990 0.5000 0.5113
Te 0.9832 0.0000 0.2815
Te 0.3973 0.0000 0.6612
Ag 0.9990 0.0000 0.0113
Os 0.5555 0.0000 0.0749
Te 0.9832 0.5000 0.7815

**Magnetic moment**: 0.00 μB per formula unit
**Formation energy from raw total energies**: 456 meV per atom
**Calculated density**: 11.0 g/cm3

---

No. 9
Hf3InTc2 | PBE | optimized geometry

Cell lengths 3.3377, 3.3377, 10.2157 Å; angles 90.00, 90.00, 90.00 degrees
Atoms (fractional coordinates):
Tc 0.5000 0.5000 0.8366
Hf 0.0000 0.0000 0.0000
Hf 0.0000 0.0000 0.6944
Hf 0.0000 0.0000 0.3056
In 0.5000 0.5000 0.5000
Tc 0.5000 0.5000 0.1634

**Magnetic moment**: 0.00 μB per formula unit
**DFT formation energy**: -0.45 eV/atom
**Calculated density**: 12.3 g/cm3

---

No. 10
Ga2As2Au | PBE | optimized geometry

Cell lengths 4.0494, 4.0494, 6.9430 Å; angles 73.05, 73.05, 90.00 degrees
Atoms (fractional coordinates):
As 0.3849 0.3849 0.2303
Ga 0.7500 0.2500 0.5000
Au 0.0000 0.0000 0.0000
Ga 0.2500 0.7500 0.5000
As 0.6151 0.6151 0.7697

**Magnetic moment**: 0.00 μB per formula unit
**DFT formation energy**: 0.20 eV/atom
**Calculated density**: 7.8 g/cm3

---

No. 11
SiAg3Ir | PBE | optimized geometry

Cell lengths 5.0259, 5.0259, 5.0259 Å; angles 90.00, 90.00, 90.00 degrees
Atoms (fractional coordinates):
Ir 0.0000 0.0000 0.0000
Ag 0.0000 0.5000 0.0000
Ag 0.0000 0.0000 0.5000
Si 0.5000 0.5000 0.5000
Ag 0.5000 0.0000 0.0000

**Magnetic moment**: 0.00 μB per formula unit
**Formation energy from raw total energies**: 1443 meV per atom
**Calculated density**: 7.1 g/cm3

---

No. 12
ReAgRh4 | PBE | optimized geometry

Cell lengths 5.0750, 5.0750, 5.0750 Å; angles 60.00, 60.00, 60.00 degrees
Atoms (fractional coordinates):
Re 0.0000 0.0000 0.0000
Rh 0.1253 0.6249 0.6249
Rh 0.6249 0.6249 0.6249
Rh 0.6249 0.6249 0.1253
Rh 0.6249 0.1253 0.6249
Ag 0.2500 0.2500 0.2500

**Magnetic moment**: 0.00 μB per formula unit
**DFT formation energy**: 0.46 eV/atom
**Calculated density**: 12.7 g/cm3

---

Which formula does entry 1 have? Y4ScP5